Entry 1:
{
  "formula": "RbLaBi2P",
  "functional": "GGA-PBE",
  "state": "relaxed",
  "space_group": "P4/mmm, No. 123",
  "density_g_cm3": 6.012,
  "e_tot_ev_per_atom": -3.004,
  "lattice_angstrom": [[5.8904, 0.0000, 0.0000], [0.0000, 5.3600, 0.0000], [0.0000, 0.0000, 5.8904]],
  "species": ["La", "Rb", "Bi", "Bi", "P"],
  "frac_coords": [[0.5000, 0.5000, 0.5000], [0.0000, 0.0000, 0.0000], [0.5000, 0.0000, 0.0000], [0.0000, 0.0000, 0.5000], [0.0000, 0.5000, 0.0000]]
}

---

Entry 2:
{
  "formula": "LaBiP2Rh5",
  "functional": "GGA-PBE",
  "state": "relaxed",
  "space_group": "P4/mmm, No. 123",
  "density_g_cm3": 8.834,
  "e_tot_ev_per_atom": -6.938,
  "lattice_angstrom": [[4.0721, 0.0000, 0.0000], [0.0000, 4.0721, 0.0000], [0.0000, 0.0000, 10.4783]],
  "species": ["La", "Rh", "Rh", "Rh", "Rh", "Rh", "Bi", "P", "P"],
  "frac_coords": [[0.0000, 0.0000, 0.5000], [0.5000, 0.0000, 0.8161], [0.0000, 0.5000, 0.8161], [0.0000, 0.5000, 0.1839], [0.5000, 0.5000, 0.5000], [0.5000, 0.0000, 0.1839], [0.0000, 0.0000, 0.0000], [0.5000, 0.5000, 0.2823], [0.5000, 0.5000, 0.7177]]
}

---

Entry 3:
{
  "formula": "LaBiPS2",
  "functional": "GGA-PBE",
  "state": "relaxed",
  "space_group": "P4/mmm, No. 123",
  "relative_energy_mev_per_atom": 0,
  "e_form_raw_ev_per_atom": -0.300,
  "density_g_cm3": 5.321,
  "lattice_angstrom": [[5.1566, 0.0000, 0.0000], [0.0000, 5.1566, 0.0000], [0.0000, 0.0000, 5.1986]],
  "species": ["La", "Bi", "S", "S", "P"],
  "frac_coords": [[0.5000, 0.5000, 0.5000], [0.0000, 0.0000, 0.0000], [0.0000, 0.5000, 0.0000], [0.5000, 0.0000, 0.0000], [0.0000, 0.0000, 0.5000]]
}

---

Entry 4:
{
  "formula": "LaBiPS2",
  "functional": "GGA-PBE",
  "state": "relaxed",
  "space_group": "P4/mmm, No. 123",
  "relative_energy_mev_per_atom": 383,
  "e_form_raw_ev_per_atom": 0.083,
  "density_g_cm3": 4.535,
  "lattice_angstrom": [[5.3831, 0.0000, 0.0000], [0.0000, 5.3831, 0.0000], [0.0000, 0.0000, 5.5974]],
  "species": ["S", "S", "Bi", "La", "P"],
  "frac_coords": [[0.5000, 0.0000, 0.0000], [0.0000, 0.5000, 0.0000], [0.5000, 0.5000, 0.5000], [0.0000, 0.0000, 0.0000], [0.0000, 0.0000, 0.5000]]
}